## CoC2 (PBE)

Data for CoC2 after structural relaxation.

Cell lengths 2.509, 14.197, 2.535 Å; angles 90.00, 90.00, 90.00 degrees
Space group Cmmm (No. 65)
Unique sites:
Co 0.000 0.116 0.000 (multiplicity 4)
C 0.000 0.000 0.500 (multiplicity 2)
C 0.000 0.224 0.500 (multiplicity 4)
C 0.000 0.500 0.000 (multiplicity 2)

Properties
electronic total energy: -7.44 eV/atom
total moment: 0.43 μB per formula unit
formation energy from the elements: 1.073 eV/atom
relative energy among the computed polymorphs: 582.0 meV/atom
ρ: 6.1 Mg/m³

=====

## CoC (PBE)

Data for CoC after structural relaxation.

Cell lengths 3.059, 9.234, 4.394 Å; angles 90.00, 90.00, 90.00 degrees
Space group Pmmn (No. 59, origin choice 2)
Unique sites:
Co 0.250 0.103 0.049 (multiplicity 4)
Co 0.250 0.750 0.422 (multiplicity 2)
C 0.250 0.250 0.338 (multiplicity 2)
C 0.250 0.589 0.185 (multiplicity 4)

Properties
electronic total energy: -7.56 eV/atom
total moment: 0.00 μB per formula unit
formation energy from the elements: 0.608 eV/atom
ρ: 5.7 Mg/m³

=====

## CoC2 (PBE)

Data for CoC2 after structural relaxation.

Cell lengths 2.6827, 2.6827, 3.8389 Å; angles 90.00, 90.00, 120.00 degrees
Space group P-6m2 (No. 187)
Unique sites:
Co 0.0000 0.0000 0.0000 (multiplicity 1)
C 0.6667 0.3333 0.3197 (multiplicity 2)

Properties
electronic total energy: -7.61 eV/atom
total moment: 0.00 μB per formula unit
formation energy from the elements: 0.911 eV/atom
relative energy among the computed polymorphs: 419.7 meV/atom
ρ: 5.8 Mg/m³

=====

## Co2C (PBE)

Data for Co2C after structural relaxation.

Cell lengths 4.6775, 4.6775, 4.3295 Å; angles 90.00, 90.00, 120.00 degrees
Space group P-31m (No. 162)
Unique sites:
Co 0.0000 0.3418 0.2462 (multiplicity 6)
C 0.0000 0.0000 0.0000 (multiplicity 1)
C 0.3333 0.6667 0.5000 (multiplicity 2)

Properties
electronic total energy: -7.66 eV/atom
total moment: 0.00 μB per formula unit
formation energy from the elements: 0.147 eV/atom
relative energy among the computed polymorphs: 39.9 meV/atom
ρ: 7.9 Mg/m³

=====

Question: Among the records above, which one has the highest electronic total energy?
Answer: number 1

=====

Copy entry 3 word for word.
## CoC2 (PBE)

Data for CoC2 after structural relaxation.

Cell lengths 2.6827, 2.6827, 3.8389 Å; angles 90.00, 90.00, 120.00 degrees
Space group P-6m2 (No. 187)
Unique sites:
Co 0.0000 0.0000 0.0000 (multiplicity 1)
C 0.6667 0.3333 0.3197 (multiplicity 2)

Properties
electronic total energy: -7.61 eV/atom
total moment: 0.00 μB per formula unit
formation energy from the elements: 0.911 eV/atom
relative energy among the computed polymorphs: 419.7 meV/atom
ρ: 5.8 Mg/m³

=====

Question: The lowest formation energy from the elements belongs to which entry?
Answer: Co2C